No. 1
Material: Cs3TaCo
Method: DFT, meta-GGA SCAN
State: single point on PBEsol structure

Summary:
Crystal system ... cubic
Symmetry ... No. 221
Formation energy from the elements ... 1.808 eV per atom
Total moment ... 7.1 μB/cell

```
5
Lattice="-1.206 -2.326 5.346 -0.704 -5.361 -2.491 5.787 -1.137 0.811" Properties=species:S:1:pos:R:3 pbc="T T T"
Cs 2.893 -0.569 0.406
Cs -0.352 -2.680 -1.246
Cs -0.603 -1.163 2.673
Ta 1.938 -4.412 1.833
Co 0.000 0.000 0.000
```

No. 2
Material: YSiIr
Method: DFT, meta-GGA SCAN
State: single point on PBEsol structure

Summary:
Crystal system ... orthorhombic
Symmetry ... No. 62
ΔE_f (raw) ... -1218 meV per atom
Total moment ... 0.0 μB/cell

```
12
Lattice="4.193 0.000 0.000 0.000 6.794 0.000 0.000 0.000 7.361" Properties=species:S:1:pos:R:3 pbc="T T T"
Si 3.145 1.370 4.492
Si 1.048 2.027 0.811
Y 3.145 6.785 1.372
Y 1.048 3.407 5.053
Y 3.145 3.388 2.309
Ir 3.145 2.333 6.865
Ir 3.145 5.730 4.178
Si 3.145 4.767 6.550
Ir 1.048 4.461 0.497
Si 1.048 5.424 2.869
Ir 1.048 1.064 3.184
Y 1.048 0.010 5.990
```

No. 3
Material: SrTlHg2
Method: DFT, meta-GGA SCAN
State: single point on PBEsol structure

Summary:
Crystal system ... orthorhombic
Symmetry ... No. 44
Formation energy from the elements ... -0.422 eV per atom
Total moment ... 0.0 μB/cell

```
4
Lattice="4.373 0.000 0.000 0.000 5.248 0.000 -2.186 -2.624 4.714" Properties=species:S:1:pos:R:3 pbc="T T T"
Hg 2.186 0.000 2.183
Hg 0.000 0.000 0.057
Tl 0.000 2.624 2.522
Sr 0.000 0.000 4.667
```